1.
This record from the Alexandria database describes an optimized crystal structure of Er3Sc2Al3O12. The functional is PBEsol.

Cell and atoms, written as POSCAR:
```
Er3Sc2Al3O12
1.0
-6.113 6.113 6.113
6.113 -6.113 6.113
6.113 6.113 -6.113
Er Sc Al O
12 8 12 48
direct
0.125 0.250 0.375
0.125 0.375 0.750
0.250 0.375 0.125
0.250 0.875 0.625
0.375 0.125 0.250
0.375 0.750 0.125
0.625 0.250 0.875
0.625 0.875 0.750
0.750 0.125 0.375
0.750 0.625 0.875
0.875 0.625 0.250
0.875 0.750 0.625
0.000 0.000 0.000
0.000 0.000 0.500
0.000 0.500 0.000
0.000 0.500 0.500
0.500 0.000 0.000
0.500 0.000 0.500
0.500 0.500 0.000
0.500 0.500 0.500
0.125 0.750 0.875
0.125 0.875 0.250
0.250 0.125 0.875
0.250 0.625 0.375
0.375 0.250 0.625
0.375 0.625 0.750
0.625 0.375 0.250
0.625 0.750 0.375
0.750 0.375 0.625
0.750 0.875 0.125
0.875 0.125 0.750
0.875 0.250 0.125
0.029 0.216 0.127
0.029 0.313 0.902
0.089 0.716 0.687
0.089 0.873 0.402
0.098 0.627 0.411
0.098 0.971 0.687
0.127 0.029 0.216
0.127 0.598 0.911
0.187 0.216 0.589
0.187 0.471 0.598
0.216 0.127 0.029
0.216 0.589 0.187
0.284 0.313 0.911
0.284 0.471 0.373
0.313 0.902 0.029
0.313 0.911 0.284
0.373 0.284 0.471
0.373 0.589 0.902
0.402 0.089 0.873
0.402 0.813 0.529
0.411 0.098 0.627
0.411 0.813 0.784
0.471 0.373 0.284
0.471 0.598 0.187
0.529 0.402 0.813
0.529 0.627 0.716
0.589 0.187 0.216
0.589 0.902 0.373
0.598 0.187 0.471
0.598 0.911 0.127
0.627 0.411 0.098
0.627 0.716 0.529
0.687 0.089 0.716
0.687 0.098 0.971
0.716 0.529 0.627
0.716 0.687 0.089
0.784 0.411 0.813
0.784 0.873 0.971
0.813 0.529 0.402
0.813 0.784 0.411
0.873 0.402 0.089
0.873 0.971 0.784
0.902 0.029 0.313
0.902 0.373 0.589
0.911 0.127 0.598
0.911 0.284 0.313
0.971 0.687 0.098
0.971 0.784 0.873
```

Output
Formation energy (no corrections) = -69.15 eV per formula unit
Space group = Ia-3d, No. 230
Crystal system = cubic

=====

2.
This record from the Alexandria database describes an optimized crystal structure of Er3Al12Os4. The functional is PBEsol.

Cell and atoms, written as POSCAR:
```
Er3Al12Os4
1.0
8.721 0.000 0.000
-4.360 7.553 0.000
0.000 0.000 9.486
Er Al Os
6 24 8
direct
0.194 0.388 0.250
0.194 0.806 0.250
0.388 0.194 0.750
0.612 0.806 0.250
0.806 0.194 0.750
0.806 0.612 0.750
0.000 0.000 0.250
0.000 0.000 0.750
0.122 0.561 0.750
0.163 0.326 0.576
0.163 0.326 0.924
0.163 0.837 0.576
0.163 0.837 0.924
0.326 0.163 0.076
0.326 0.163 0.424
0.333 0.667 0.020
0.333 0.667 0.480
0.439 0.561 0.750
0.439 0.878 0.750
0.561 0.122 0.250
0.561 0.439 0.250
0.667 0.333 0.520
0.667 0.333 0.980
0.674 0.837 0.576
0.674 0.837 0.924
0.837 0.163 0.076
0.837 0.163 0.424
0.837 0.674 0.076
0.837 0.674 0.424
0.878 0.439 0.250
0.000 0.000 0.000
0.000 0.000 0.500
0.000 0.500 0.000
0.000 0.500 0.500
0.500 0.000 0.000
0.500 0.000 0.500
0.500 0.500 0.000
0.500 0.500 0.500
```

Output
DFT formation energy = -584 meV/atom
Space group = P6_3/mmc, No. 194
Crystal system = hexagonal

=====

3.
This record from the Alexandria database describes an optimized crystal structure of Er2Al9Pd3. The functional is PBEsol.

Cell and atoms, written as POSCAR:
```
Er2Al9Pd3
1.0
6.539 -3.812 0.000
6.539 3.812 0.000
0.000 0.000 9.319
Er Al Pd
4 18 6
direct
0.007 0.671 0.750
0.329 0.993 0.750
0.671 0.007 0.250
0.993 0.329 0.250
0.001 0.335 0.577
0.001 0.335 0.923
0.128 0.872 0.250
0.332 0.668 0.557
0.332 0.668 0.943
0.335 0.001 0.077
0.335 0.001 0.423
0.339 0.451 0.250
0.451 0.339 0.750
0.549 0.661 0.250
0.661 0.549 0.750
0.665 0.999 0.577
0.665 0.999 0.923
0.668 0.332 0.057
0.668 0.332 0.443
0.872 0.128 0.750
0.999 0.665 0.077
0.999 0.665 0.423
0.000 0.000 0.000
0.000 0.000 0.500
0.328 0.328 0.000
0.328 0.328 0.500
0.672 0.672 0.000
0.672 0.672 0.500
```

Output
DFT formation energy = -699 meV/atom
Space group = Cmcm, No. 63
Crystal system = orthorhombic

=====

4.
This record from the Alexandria database describes an optimized crystal structure of ErAlPt. The functional is PBEsol.

Cell and atoms, written as POSCAR:
```
ErAlPt
1.0
6.758 0.000 0.000
0.000 4.341 0.000
0.000 0.000 7.667
Er Al Pt
4 4 4
direct
0.029 0.250 0.181
0.471 0.750 0.681
0.529 0.250 0.319
0.971 0.750 0.819
0.145 0.250 0.563
0.355 0.750 0.063
0.645 0.250 0.937
0.855 0.750 0.437
0.231 0.750 0.383
0.269 0.250 0.883
0.731 0.750 0.117
0.769 0.250 0.617
```

Output
DFT formation energy = -1171 meV/atom
Space group = Pnma, No. 62
Crystal system = orthorhombic

=====

5.
This record from the Alexandria database describes an optimized crystal structure of Er4Al24Pt9. The functional is PBEsol.

Cell and atoms, written as POSCAR:
```
Er4Al24Pt9
1.0
7.455 0.000 0.000
3.717 6.466 0.000
1.243 2.143 12.784
Er Al Pt
4 24 9
direct
0.001 0.232 0.308
0.332 0.562 0.308
0.668 0.438 0.692
0.999 0.768 0.692
0.001 0.686 0.941
0.002 0.852 0.444
0.006 0.056 0.828
0.130 0.309 0.684
0.332 0.184 0.453
0.333 0.021 0.938
0.333 0.647 0.059
0.334 0.483 0.556
0.335 0.384 0.828
0.336 0.897 0.683
0.339 0.270 0.170
0.457 0.897 0.316
0.543 0.103 0.684
0.661 0.730 0.830
0.664 0.103 0.317
0.665 0.616 0.172
0.666 0.517 0.444
0.667 0.353 0.941
0.667 0.979 0.062
0.668 0.816 0.547
0.870 0.691 0.316
0.994 0.944 0.172
0.998 0.148 0.556
0.999 0.314 0.059
0.000 0.500 0.500
0.009 0.612 0.139
0.325 0.954 0.138
0.328 0.828 0.500
0.333 0.704 0.861
0.667 0.296 0.139
0.672 0.172 0.500
0.675 0.046 0.862
0.991 0.388 0.861
```

Output
DFT formation energy = -912 meV/atom
Space group = P-1, No. 2
Crystal system = triclinic

=====

6.
This record from the Alexandria database describes an optimized crystal structure of ErAl10Re2. The functional is PBEsol.

Cell and atoms, written as POSCAR:
```
ErAl10Re2
1.0
4.611 -5.131 0.000
4.611 5.131 0.000
0.000 0.000 26.753
Er Al Re
6 60 12
direct
0.118 0.882 0.750
0.375 0.625 0.585
0.375 0.625 0.915
0.625 0.375 0.085
0.625 0.375 0.415
0.882 0.118 0.250
0.028 0.533 0.671
0.028 0.533 0.829
0.029 0.273 0.581
0.029 0.273 0.919
0.096 0.904 0.633
0.096 0.904 0.867
0.100 0.322 0.750
0.120 0.377 0.083
0.120 0.377 0.417
0.122 0.878 0.522
0.122 0.878 0.978
0.130 0.870 0.179
0.130 0.870 0.321
0.237 0.464 0.250
0.273 0.029 0.081
0.273 0.029 0.419
0.295 0.295 0.000
0.295 0.295 0.500
0.322 0.100 0.250
0.335 0.665 0.034
0.335 0.665 0.466
0.375 0.625 0.145
0.375 0.625 0.355
0.377 0.120 0.583
0.377 0.120 0.917
0.408 0.592 0.700
0.408 0.592 0.800
0.464 0.237 0.750
0.467 0.972 0.671
0.467 0.972 0.829
0.533 0.028 0.171
0.533 0.028 0.329
0.536 0.763 0.250
0.592 0.408 0.200
0.592 0.408 0.300
0.623 0.880 0.083
0.623 0.880 0.417
0.625 0.375 0.645
0.625 0.375 0.855
0.665 0.335 0.534
0.665 0.335 0.966
0.678 0.900 0.750
0.705 0.705 0.000
0.705 0.705 0.500
0.727 0.971 0.581
0.727 0.971 0.919
0.763 0.536 0.750
0.870 0.130 0.679
0.870 0.130 0.821
0.878 0.122 0.022
0.878 0.122 0.478
0.880 0.623 0.583
0.880 0.623 0.917
0.900 0.678 0.250
0.904 0.096 0.133
0.904 0.096 0.367
0.971 0.727 0.081
0.971 0.727 0.419
0.972 0.467 0.171
0.972 0.467 0.329
0.000 0.500 0.000
0.000 0.500 0.500
0.245 0.251 0.663
0.245 0.251 0.837
0.251 0.245 0.163
0.251 0.245 0.337
0.500 0.000 0.000
0.500 0.000 0.500
0.749 0.755 0.663
0.749 0.755 0.837
0.755 0.749 0.163
0.755 0.749 0.337
```

Output
DFT formation energy = -343 meV/atom
Space group = Cmcm, No. 63
Crystal system = orthorhombic

=====

7.
This record from the Alexandria database describes an optimized crystal structure of Er2Al9Rh3. The functional is PBEsol.

Cell and atoms, written as POSCAR:
```
Er2Al9Rh3
1.0
6.439 -3.765 0.000
6.439 3.765 0.000
0.000 0.000 9.349
Er Al Rh
4 18 6
direct
0.005 0.673 0.750
0.327 0.995 0.750
0.673 0.005 0.250
0.995 0.327 0.250
0.000 0.336 0.576
0.000 0.336 0.924
0.000 0.664 0.076
0.000 0.664 0.424
0.127 0.873 0.250
0.332 0.668 0.551
0.332 0.668 0.949
0.336 0.000 0.076
0.336 0.000 0.424
0.340 0.448 0.250
0.448 0.340 0.750
0.552 0.660 0.250
0.660 0.552 0.750
0.664 0.000 0.576
0.664 0.000 0.924
0.668 0.332 0.051
0.668 0.332 0.449
0.873 0.127 0.750
0.000 0.000 0.000
0.000 0.000 0.500
0.328 0.328 0.000
0.328 0.328 0.500
0.672 0.672 0.000
0.672 0.672 0.500
```

Output
DFT formation energy = -829 meV/atom
Space group = Cmcm, No. 63
Crystal system = orthorhombic

=====

8.
This record from the Alexandria database describes an optimized crystal structure of Er2AlSi2. The functional is PBEsol.

Cell and atoms, written as POSCAR:
```
Er2AlSi2
1.0
-2.016 2.796 4.265
2.016 -2.796 4.265
2.016 2.796 -4.265
Er Al Si
2 1 2
direct
0.210 0.210 0.000
0.790 0.790 0.000
0.500 0.000 0.500
0.211 0.500 0.711
0.789 0.500 0.289
```

Output
Formation energy (no corrections) = -3.86 eV per formula unit
Space group = Immm, No. 71
Crystal system = orthorhombic

=====

9.
This record from the Alexandria database describes an optimized crystal structure of YErAl4. The functional is PBEsol.

Cell and atoms, written as POSCAR:
```
YErAl4
1.0
0.000 3.888 3.888
3.888 0.000 3.888
3.888 3.888 0.000
Y Er Al
1 1 4
direct
0.000 0.000 0.000
0.250 0.250 0.250
0.125 0.625 0.625
0.625 0.125 0.625
0.625 0.625 0.125
0.625 0.625 0.625
```

Output
DFT formation energy = -532 meV/atom
Space group = F-43m, No. 216
Crystal system = cubic

=====

10.
This record from the Alexandria database describes an optimized crystal structure of YEr4Al15. The functional is PBEsol.

Cell and atoms, written as POSCAR:
```
YEr4Al15
1.0
3.002 1.733 11.870
-3.002 1.733 11.870
0.000 -3.466 11.870
Y Er Al
1 4 15
direct
0.000 0.000 0.000
0.132 0.132 0.132
0.400 0.400 0.400
0.600 0.600 0.600
0.868 0.868 0.868
0.000 0.500 0.500
0.115 0.115 0.570
0.115 0.570 0.115
0.130 0.635 0.635
0.365 0.365 0.870
0.365 0.870 0.365
0.430 0.885 0.885
0.500 0.000 0.500
0.500 0.500 0.000
0.570 0.115 0.115
0.635 0.130 0.635
0.635 0.635 0.130
0.870 0.365 0.365
0.885 0.430 0.885
0.885 0.885 0.430
```

Output
DFT formation energy = -442 meV/atom
Space group = R-3m, No. 166
Crystal system = trigonal

=====

11.
This record from the Alexandria database describes an optimized crystal structure of YErAl2. The functional is PBEsol.

Cell and atoms, written as POSCAR:
```
YErAl2
1.0
0.000 3.540 3.540
3.540 0.000 3.540
3.540 3.540 0.000
Y Er Al
1 1 2
direct
0.000 0.000 0.000
0.500 0.500 0.500
0.250 0.250 0.250
0.750 0.750 0.750
```

Output
DFT formation energy = -417 meV/atom
Space group = Fm-3m, No. 225
Crystal system = cubic

=====

12.
This record from the Alexandria database describes an optimized crystal structure of ErAlZn. The functional is PBEsol.

Cell and atoms, written as POSCAR:
```
ErAlZn
1.0
4.406 0.000 0.000
-2.203 3.816 0.000
0.000 0.000 6.925
Er Al Zn
2 2 2
direct
0.000 0.000 0.000
0.000 0.000 0.500
0.333 0.667 0.250
0.667 0.333 0.750
0.333 0.667 0.750
0.667 0.333 0.250
```

Output
DFT formation energy = -447 meV/atom
Space group = P6_3/mmc, No. 194
Crystal system = hexagonal